[1]
Compound: ReSbTe2
Source: Alexandria via LeMat-Bulk
Functional: PBE
Structure: relaxed

Properties
Density ... 8.72 g/cm³
ΔE_f (raw) ... 0.99 eV/f.u.
Space-group type ... Cmmm

Geometry as extended XYZ:
```
4
Lattice="2.601 -4.977 0.000 2.601 4.977 0.000 0.000 0.000 4.141" Properties=species:S:1:pos:R:3 pbc="T T T"
Re 0.000 0.000 0.000
Sb 2.601 0.000 0.000
Te 2.601 3.222 2.070
Te 2.601 -3.222 2.070
```

---

[2]
Compound: ReSbTe2
Source: Alexandria via LeMat-Bulk
Functional: PBE
Structure: relaxed

Properties
Density ... 9.62 g/cm³
ΔE_f (raw) ... 2.60 eV/f.u.
Space-group type ... Cmmm

Geometry as extended XYZ:
```
4
Lattice="1.650 -2.680 0.000 1.650 2.680 0.000 0.000 0.000 10.994" Properties=species:S:1:pos:R:3 pbc="T T T"
Re 0.000 0.000 0.000
Sb 0.000 0.000 5.497
Te 1.650 0.000 2.196
Te 1.650 0.000 8.797
```

---

[3]
Compound: ReSbTe2
Source: Alexandria via LeMat-Bulk
Functional: PBE
Structure: relaxed

Properties
Density ... 9.48 g/cm³
ΔE_f (raw) ... 3.33 eV/f.u.
Space-group type ... I4/mmm

Geometry as extended XYZ:
```
4
Lattice="-2.919 2.919 2.893 2.919 -2.919 2.893 2.919 2.919 -2.893" Properties=species:S:1:pos:R:3 pbc="T T T"
Re 0.000 0.000 0.000
Sb 0.000 0.000 2.893
Te 2.919 0.000 0.000
Te 0.000 2.919 0.000
```

---

[4]
Compound: ReSbTe2
Source: Alexandria via LeMat-Bulk
Functional: PBE
Structure: relaxed

Properties
Density ... 9.17 g/cm³
ΔE_f (raw) ... 1.66 eV/f.u.
Space-group type ... Immm

Geometry as extended XYZ:
```
4
Lattice="-1.668 2.387 6.407 1.668 -2.387 6.407 1.668 2.387 -6.407" Properties=species:S:1:pos:R:3 pbc="T T T"
Re 0.000 0.000 0.000
Sb 0.000 0.000 6.407
Te 1.668 0.000 2.214
Te 0.000 2.387 4.194
```

---

[5]
Compound: ReSbTe2
Source: Alexandria via LeMat-Bulk
Functional: PBE
Structure: relaxed

Properties
Density ... 9.50 g/cm³
ΔE_f (raw) ... 1.55 eV/f.u.
Space-group type ... P4/mmm

Geometry as extended XYZ:
```
4
Lattice="3.201 0.000 0.000 0.000 3.201 0.000 0.000 0.000 9.606" Properties=species:S:1:pos:R:3 pbc="T T T"
Re 0.000 0.000 0.000
Sb 0.000 0.000 4.803
Te 1.601 1.601 1.719
Te 1.601 1.601 7.887
```

---

[6]
Compound: ReSbTe2
Source: Alexandria via LeMat-Bulk
Functional: PBE
Structure: relaxed

Properties
Density ... 8.94 g/cm³
ΔE_f (raw) ... 3.27 eV/f.u.
Space-group type ... R-3m

Geometry as extended XYZ:
```
4
Lattice="1.549 0.894 12.581 -1.549 0.894 12.581 0.000 -1.789 12.581" Properties=species:S:1:pos:R:3 pbc="T T T"
Re 0.000 0.000 0.000
Sb 0.000 0.000 18.872
Te 0.000 0.000 2.640
Te 0.000 0.000 35.105
```

---

[7]
Compound: ReSbTe2
Source: Alexandria via LeMat-Bulk
Functional: PBE
Structure: relaxed

Properties
Density ... 9.45 g/cm³
ΔE_f (raw) ... 2.22 eV/f.u.
Space-group type ... Cmm2

Geometry as extended XYZ:
```
4
Lattice="1.723 -2.605 0.000 1.723 2.605 0.000 0.000 0.000 11.024" Properties=species:S:1:pos:R:3 pbc="T T T"
Re 0.000 0.000 0.000
Sb 1.723 0.000 8.869
Te 0.000 0.000 5.486
Te 1.723 0.000 2.124
```

---

[8]
Compound: ReSbTe2
Source: Alexandria via LeMat-Bulk
Functional: PBE
Structure: relaxed

Properties
Density ... 8.54 g/cm³
ΔE_f (raw) ... 1.64 eV/f.u.
Space-group type ... R-3m

Geometry as extended XYZ:
```
4
Lattice="1.671 0.965 11.321 -1.671 0.965 11.321 0.000 -1.929 11.321" Properties=species:S:1:pos:R:3 pbc="T T T"
Re 0.000 0.000 0.000
Sb 0.000 0.000 16.982
Te 0.000 0.000 13.258
Te 0.000 0.000 20.706
```

---

[9]
Compound: Th4ReSbTe2
Source: Alexandria via LeMat-Bulk
Functional: PBE
Structure: relaxed

Properties
Density ... 9.78 g/cm³
ΔE_f (raw) ... -6.12 eV/f.u.
Space-group type ... P2/m

Geometry as extended XYZ:
```
8
Lattice="7.848 0.000 0.000 0.000 4.299 0.000 -2.398 0.000 7.503" Properties=species:S:1:pos:R:3 pbc="T T T"
Th 1.139 0.000 1.534
Th -0.061 2.150 5.834
Th 5.512 2.150 1.669
Th 4.312 0.000 5.969
Re 0.000 2.150 0.000
Sb 3.924 0.000 0.000
Te -1.199 0.000 3.751
Te 2.725 2.150 3.751
```

---

[10]
Compound: TlReSbTe2
Source: Alexandria via LeMat-Bulk
Functional: PBE
Structure: relaxed

Properties
Density ... 8.28 g/cm³
ΔE_f (raw) ... 2.57 eV/f.u.
Space-group type ... P4/mmm
Distance to the lowest polymorph of the same formula ... 0.00 eV/f.u.

Geometry as extended XYZ:
```
5
Lattice="5.466 0.000 0.000 0.000 5.466 0.000 0.000 0.000 5.149" Properties=species:S:1:pos:R:3 pbc="T T T"
Tl 0.000 0.000 0.000
Re 2.733 2.733 2.575
Sb 2.733 2.733 0.000
Te 0.000 2.733 2.575
Te 2.733 0.000 2.575
```

---

[11]
Compound: Re2SbTeW
Source: Alexandria via LeMat-Bulk
Functional: PBE
Structure: relaxed

Properties
Density ... 11.40 g/cm³
ΔE_f (raw) ... 11.97 eV/f.u.
Space-group type ... P4/mmm

Geometry as extended XYZ:
```
5
Lattice="4.865 0.000 0.000 0.000 4.865 0.000 0.000 0.000 4.957" Properties=species:S:1:pos:R:3 pbc="T T T"
Re 0.000 2.433 0.000
Re 2.433 0.000 0.000
Sb 0.000 0.000 2.478
Te 2.433 2.433 0.000
W 2.433 2.433 2.478
```

---

[12]
Compound: ReSbTe2W
Source: Alexandria via LeMat-Bulk
Functional: PBE
Structure: relaxed

Properties
Density ... 8.94 g/cm³
ΔE_f (raw) ... 8.32 eV/f.u.
Space-group type ... P4/mmm
Distance to the lowest polymorph of the same formula ... 0.00 eV/f.u.

Geometry as extended XYZ:
```
5
Lattice="5.225 0.000 0.000 0.000 5.225 0.000 0.000 0.000 5.084" Properties=species:S:1:pos:R:3 pbc="T T T"
Re 0.000 0.000 0.000
Sb 0.000 0.000 2.542
Te 0.000 2.612 0.000
Te 2.612 0.000 0.000
W 2.612 2.612 2.542
```

---

[13]
Compound: ReSb2TeW
Source: Alexandria via LeMat-Bulk
Functional: PBE
Structure: relaxed

Properties
Density ... 8.82 g/cm³
ΔE_f (raw) ... 8.13 eV/f.u.
Space-group type ... P4/mmm
Distance to the lowest polymorph of the same formula ... 0.00 eV/f.u.

Geometry as extended XYZ:
```
5
Lattice="5.048 0.000 0.000 0.000 5.048 0.000 0.000 0.000 5.475" Properties=species:S:1:pos:R:3 pbc="T T T"
Re 0.000 0.000 0.000
Sb 0.000 2.524 0.000
Sb 2.524 0.000 0.000
Te 0.000 0.000 2.737
W 2.524 2.524 2.737
```

---

[14]
Compound: YReSb2Te
Source: Alexandria via LeMat-Bulk
Functional: PBE
Structure: relaxed

Properties
Density ... 6.01 g/cm³
ΔE_f (raw) ... 7.52 eV/f.u.
Space-group type ... P4/mmm
Distance to the lowest polymorph of the same formula ... 5.79 eV/f.u.

Geometry as extended XYZ:
```
5
Lattice="5.671 0.000 0.000 0.000 5.671 0.000 0.000 0.000 5.556" Properties=species:S:1:pos:R:3 pbc="T T T"
Y 0.000 0.000 0.000
Re 2.835 2.835 0.000
Sb 0.000 2.835 2.778
Sb 2.835 0.000 2.778
Te 0.000 0.000 2.778
```

---

[15]
Compound: YReSbTe2
Source: Alexandria via LeMat-Bulk
Functional: PBE
Structure: relaxed

Properties
Density ... 5.54 g/cm³
ΔE_f (raw) ... 5.88 eV/f.u.
Space-group type ... P4/mmm
Distance to the lowest polymorph of the same formula ... 4.10 eV/f.u.

Geometry as extended XYZ:
```
5
Lattice="5.763 0.000 0.000 0.000 5.763 0.000 0.000 0.000 5.886" Properties=species:S:1:pos:R:3 pbc="T T T"
Y 0.000 0.000 0.000
Re 2.881 2.881 2.943
Sb 0.000 0.000 2.943
Te 0.000 2.881 0.000
Te 2.881 0.000 0.000
```

---

[16]
Compound: YReSbTe2
Source: Alexandria via LeMat-Bulk
Functional: PBE
Structure: relaxed

Properties
Density ... 7.26 g/cm³
ΔE_f (raw) ... 1.78 eV/f.u.
Space-group type ... P4/mmm
Distance to the lowest polymorph of the same formula ... 0.00 eV/f.u.

Geometry as extended XYZ:
```
5
Lattice="5.457 0.000 0.000 0.000 5.457 0.000 0.000 0.000 5.006" Properties=species:S:1:pos:R:3 pbc="T T T"
Y 0.000 0.000 0.000
Re 2.728 2.728 2.503
Sb 2.728 2.728 0.000
Te 0.000 2.728 2.503
Te 2.728 0.000 2.503
```

---

[17]
Compound: YReSb2Te
Source: Alexandria via LeMat-Bulk
Functional: PBE
Structure: relaxed

Properties
Density ... 7.16 g/cm³
ΔE_f (raw) ... 1.73 eV/f.u.
Space-group type ... P4/mmm
Distance to the lowest polymorph of the same formula ... 0.00 eV/f.u.

Geometry as extended XYZ:
```
5
Lattice="5.034 0.000 0.000 0.000 5.034 0.000 0.000 0.000 5.911" Properties=species:S:1:pos:R:3 pbc="T T T"
Y 0.000 0.000 0.000
Re 2.517 2.517 2.955
Sb 0.000 2.517 2.955
Sb 2.517 0.000 2.955
Te 2.517 2.517 0.000
```

---

[18]
Compound: YReSb2Te
Source: Alexandria via LeMat-Bulk
Functional: PBE
Structure: relaxed

Properties
Density ... 5.63 g/cm³
ΔE_f (raw) ... 6.77 eV/f.u.
Space-group type ... P4/mmm
Distance to the lowest polymorph of the same formula ... 5.05 eV/f.u.

Geometry as extended XYZ:
```
5
Lattice="5.783 0.000 0.000 0.000 5.783 0.000 0.000 0.000 5.701" Properties=species:S:1:pos:R:3 pbc="T T T"
Y 0.000 0.000 0.000
Re 2.891 2.891 2.851
Sb 0.000 2.891 0.000
Sb 2.891 0.000 0.000
Te 0.000 0.000 2.851
```

---

[19]
Compound: ZnReSb2Te
Source: Alexandria via LeMat-Bulk
Functional: PBE
Structure: relaxed

Properties
Density ... 6.97 g/cm³
ΔE_f (raw) ... 3.64 eV/f.u.
Space-group type ... P4/mmm
Distance to the lowest polymorph of the same formula ... 0.00 eV/f.u.

Geometry as extended XYZ:
```
5
Lattice="5.087 0.000 0.000 0.000 5.087 0.000 0.000 0.000 5.729" Properties=species:S:1:pos:R:3 pbc="T T T"
Zn 0.000 0.000 0.000
Re 2.544 2.544 2.865
Sb 0.000 2.544 2.865
Sb 2.544 0.000 2.865
Te 2.544 2.544 0.000
```

---

[20]
Compound: ZnReSb2Te
Source: Alexandria via LeMat-Bulk
Functional: PBE
Structure: relaxed

Properties
Density ... 7.64 g/cm³
ΔE_f (raw) ... 7.39 eV/f.u.
Space-group type ... P4/mmm
Distance to the lowest polymorph of the same formula ... 3.75 eV/f.u.

Geometry as extended XYZ:
```
5
Lattice="5.091 0.000 0.000 0.000 5.091 0.000 0.000 0.000 5.220" Properties=species:S:1:pos:R:3 pbc="T T T"
Zn 0.000 0.000 0.000
Re 2.545 2.545 2.610
Sb 0.000 2.545 0.000
Sb 2.545 0.000 0.000
Te 0.000 0.000 2.610
```

---

[21]
Compound: ZrReSb2Te
Source: Alexandria via LeMat-Bulk
Functional: PBE
Structure: relaxed

Properties
Density ... 7.51 g/cm³
ΔE_f (raw) ... 4.33 eV/f.u.
Space-group type ... P4/mmm
Distance to the lowest polymorph of the same formula ... 0.00 eV/f.u.

Geometry as extended XYZ:
```
5
Lattice="5.040 0.000 0.000 0.000 5.040 0.000 0.000 0.000 5.649" Properties=species:S:1:pos:R:3 pbc="T T T"
Zr 0.000 0.000 0.000
Re 2.520 2.520 2.825
Sb 0.000 2.520 2.825
Sb 2.520 0.000 2.825
Te 2.520 2.520 0.000
```

---

[22]
Compound: ThReSb
Source: Alexandria via LeMat-Bulk
Functional: PBE
Structure: relaxed

Properties
Density ... 12.17 g/cm³
ΔE_f (raw) ... 0.16 eV/f.u.
Space-group type ... P4/nmm

Geometry as extended XYZ:
```
6
Lattice="3.664 0.000 0.000 0.000 3.664 0.000 0.000 0.000 10.974" Properties=species:S:1:pos:R:3 pbc="T T T"
Th 0.916 0.916 2.645
Th 2.748 2.748 8.330
Re 0.916 0.916 10.745
Re 2.748 2.748 0.230
Sb 0.916 0.916 6.361
Sb 2.748 2.748 4.613
```

---

[23]
Compound: Th7Re2Sb2
Source: Alexandria via LeMat-Bulk
Functional: PBE
Structure: relaxed

Properties
Density ... 11.51 g/cm³
ΔE_f (raw) ... -3.49 eV/f.u.
Space-group type ... Imm2

Geometry as extended XYZ:
```
11
Lattice="-2.044 8.166 4.843 2.044 -8.166 4.843 2.044 8.166 -4.843" Properties=species:S:1:pos:R:3 pbc="T T T"
Th 0.000 0.000 0.000
Th 2.044 2.949 -1.183
Th 2.044 -2.443 2.364
Th 2.044 2.443 2.364
Th 2.044 6.019 0.811
Th 0.000 5.217 3.659
Th 0.000 2.147 5.654
Re 0.000 3.854 0.694
Re 0.000 12.478 0.694
Sb 0.000 0.000 3.211
Sb 0.000 8.166 2.269
```

---

[24]
Compound: TiRe3Sb
Source: Alexandria via LeMat-Bulk
Functional: PBE
Structure: relaxed

Properties
Density ... 11.11 g/cm³
ΔE_f (raw) ... 11.53 eV/f.u.
Space-group type ... Pm-3m
Distance to the lowest polymorph of the same formula ... 2.40 eV/f.u.

Geometry as extended XYZ:
```
5
Lattice="4.775 0.000 0.000 0.000 4.775 0.000 0.000 0.000 4.775" Properties=species:S:1:pos:R:3 pbc="T T T"
Ti 0.000 0.000 0.000
Re 0.000 2.388 2.388
Re 2.388 0.000 2.388
Re 2.388 2.388 0.000
Sb 2.388 2.388 2.388
```

---

[25]
Compound: TiReSb3
Source: Alexandria via LeMat-Bulk
Functional: PBE
Structure: relaxed

Properties
Density ... 7.10 g/cm³
ΔE_f (raw) ... 4.83 eV/f.u.
Space-group type ... Pm-3m
Distance to the lowest polymorph of the same formula ... 0.00 eV/f.u.

Geometry as extended XYZ:
```
5
Lattice="5.195 0.000 0.000 0.000 5.195 0.000 0.000 0.000 5.195" Properties=species:S:1:pos:R:3 pbc="T T T"
Ti 0.000 0.000 0.000
Re 2.598 2.598 2.598
Sb 0.000 2.598 2.598
Sb 2.598 0.000 2.598
Sb 2.598 2.598 0.000
```

---

[26]
Compound: TiReSb
Source: Alexandria via LeMat-Bulk
Functional: PBE
Structure: relaxed

Properties
Density ... 9.96 g/cm³
ΔE_f (raw) ... -0.55 eV/f.u.
Space-group type ... I4/mmm

Geometry as extended XYZ:
```
6
Lattice="-1.624 1.624 11.252 1.624 -1.624 11.252 1.624 1.624 -11.252" Properties=species:S:1:pos:R:3 pbc="T T T"
Ti 0.000 0.000 3.453
Ti 0.000 0.000 19.050
Re 0.000 0.000 6.422
Re 0.000 0.000 16.081
Sb 0.000 0.000 9.545
Sb 0.000 0.000 12.958
```

---

[27]
Compound: TiRe3Sb
Source: Alexandria via LeMat-Bulk
Functional: PBE
Structure: relaxed

Properties
Density ... 12.16 g/cm³
ΔE_f (raw) ... 9.13 eV/f.u.
Space-group type ... Pm-3m
Distance to the lowest polymorph of the same formula ... 0.00 eV/f.u.

Geometry as extended XYZ:
```
5
Lattice="4.633 0.000 0.000 0.000 4.633 0.000 0.000 0.000 4.633" Properties=species:S:1:pos:R:3 pbc="T T T"
Ti 0.000 0.000 0.000
Re 0.000 0.000 2.317
Re 0.000 2.317 0.000
Re 2.317 0.000 0.000
Sb 2.317 2.317 2.317
```

---

[28]
Compound: TlReSb
Source: Alexandria via LeMat-Bulk
Functional: PBE
Structure: relaxed

Properties
Density ... 12.73 g/cm³
ΔE_f (raw) ... 1.81 eV/f.u.
Space-group type ... P3m1
Distance to the lowest polymorph of the same formula ... 0.00 eV/f.u.

Geometry as extended XYZ:
```
3
Lattice="3.315 0.000 0.000 -1.657 2.871 0.000 0.000 0.000 7.022" Properties=species:S:1:pos:R:3 pbc="T T T"
Tl 0.000 0.000 0.000
Re 1.657 0.957 2.252
Sb 0.000 1.914 4.115
```

---

[29]
Compound: TlRe2Sb2
Source: Alexandria via LeMat-Bulk
Functional: PBE
Structure: relaxed

Properties
Density ... 11.42 g/cm³
ΔE_f (raw) ... 3.16 eV/f.u.
Space-group type ... I4/mmm
Distance to the lowest polymorph of the same formula ... 0.00 eV/f.u.

Geometry as extended XYZ:
```
5
Lattice="-2.557 2.557 4.561 2.557 -2.557 4.561 2.557 2.557 -4.561" Properties=species:S:1:pos:R:3 pbc="T T T"
Tl 0.000 0.000 0.000
Re 0.000 0.000 3.427
Re 0.000 0.000 5.695
Sb 2.557 0.000 2.280
Sb 0.000 2.557 2.280
```

---

| no. | magnetic moment (μB per atom) |
| --- | --- |
| 1 | 0.000 |
| 2 | 0.000 |
| 3 | 0.163 |
| 4 | 0.000 |
| 5 | 0.000 |
| 6 | 0.000 |
| 7 | 0.000 |
| 8 | 0.000 |
| 9 | 0.000 |
| 10 | 0.205 |
| 11 | 0.378 |
| 12 | 0.619 |
| 13 | 0.671 |
| 14 | 0.764 |
| 15 | 0.916 |
| 16 | 0.252 |
| 17 | 0.000 |
| 18 | 0.888 |
| 19 | 0.033 |
| 20 | 0.641 |
| 21 | 0.371 |
| 22 | 0.000 |
| 23 | 0.000 |
| 24 | 0.000 |
| 25 | 0.536 |
| 26 | 0.000 |
| 27 | 0.429 |
| 28 | 0.000 |
| 29 | 0.117 |